First-principles (PBEsol) data for a relaxed Mg4Hg5 crystal, as listed in the Alexandria database.

abc: 8.5156 8.5156 6.0311
angles: 90.00 90.00 120.00
Fractional coordinates of all 18 atoms:
Mg  0.0000  0.0000  0.0000
Mg  0.0000  0.0000  0.5000
Mg  0.0000  0.3696  0.2500
Mg  0.0000  0.6304  0.7500
Mg  0.3696  0.0000  0.2500
Mg  0.3696  0.3696  0.7500
Mg  0.6304  0.0000  0.7500
Mg  0.6304  0.6304  0.2500
Hg  0.0000  0.2950  0.7500
Hg  0.0000  0.7050  0.2500
Hg  0.2950  0.0000  0.7500
Hg  0.2950  0.2950  0.2500
Hg  0.3333  0.6667  0.0000
Hg  0.3333  0.6667  0.5000
Hg  0.6667  0.3333  0.0000
Hg  0.6667  0.3333  0.5000
Hg  0.7050  0.0000  0.2500
Hg  0.7050  0.7050  0.7500

Properties
- electronic total energy (eV/atom) = -1.315
- SG = P6_3/mcm, No. 193
- energy above the lowest structure with this stoichiometry (meV/atom) = 0